# GePSN

A relaxed GePSN crystal (PBE-GGA, the Alexandria database).

Cell lengths 6.472, 6.472, 5.001 Å; angles 105.38, 105.38, 27.60 degrees
Fractional coordinates of all 4 atoms:
Ge 0.000 0.000 0.000
P 0.692 0.692 0.459
S 0.183 0.183 0.760
N 0.569 0.569 0.222

Results
- Fermi-level density of states: 0.000 states/eV/cell
- Energy relative to the lowest polymorph listed for this composition: 25 meV per atom
- ρ: 2.662 g/cm3
- Total moment: 0.000 μB per atom
- Space group: Cm, No. 8
- Formation energy from raw total energies: 34 meV per atom

=====

# GePSN

A relaxed GePSN crystal (PBE-GGA, the Alexandria database).

Cell lengths 3.628, 4.915, 4.916 Å; angles 114.82, 92.76, 94.89 degrees
Fractional coordinates of all 4 atoms:
Ge 0.000 0.000 0.000
P 0.626 0.762 0.371
S 0.534 0.329 0.963
N 0.951 0.734 0.582

Results
- Energy relative to the lowest polymorph listed for this composition: 134 meV per atom
- ρ: 3.149 g/cm3
- Total moment: 0.000 μB per atom
- Space group: P1, No. 1
- Formation energy from raw total energies: 143 meV per atom

=====

# GePSN

A relaxed GePSN crystal (PBE-GGA, the Alexandria database).

Cell lengths 5.724, 5.724, 5.981 Å; angles 111.35, 111.35, 27.27 degrees
Fractional coordinates of all 4 atoms:
Ge 0.000 0.000 0.000
P 0.252 0.252 0.574
S 0.195 0.195 0.913
N 0.852 0.852 0.662

Results
- Fermi-level density of states: 0.200 states/eV/cell
- Energy relative to the lowest polymorph listed for this composition: 56 meV per atom
- ρ: 2.986 g/cm3
- Total moment: 0.000 μB per atom
- Space group: Cm, No. 8
- Formation energy from raw total energies: 65 meV per atom

=====

# GePSN

A relaxed GePSN crystal (PBE-GGA, the Alexandria database).

Cell lengths 3.518, 4.633, 4.921 Å; angles 95.56, 108.64, 91.30 degrees
Fractional coordinates of all 4 atoms:
Ge 0.000 0.000 0.000
P 0.924 0.322 0.572
S 0.477 0.658 0.985
N 0.159 0.148 0.394

Results
- Energy relative to the lowest polymorph listed for this composition: 150 meV per atom
- ρ: 3.292 g/cm3
- Total moment: 0.000 μB per atom
- Space group: P1, No. 1
- Formation energy from raw total energies: 159 meV per atom

=====

# GePSN

A relaxed GePSN crystal (PBE-GGA, the Alexandria database).

Cell lengths 5.078, 3.086, 5.630 Å; angles 90.00, 94.57, 90.00 degrees
Fractional coordinates of all 4 atoms:
Ge 0.000 0.000 0.000
P 0.288 0.500 0.586
S 0.592 0.000 0.605
N 0.158 0.500 0.849

Results
- Energy relative to the lowest polymorph listed for this composition: 22 meV per atom
- ρ: 2.827 g/cm3
- Total moment: 0.000 μB per atom
- Space group: Pm, No. 6
- Formation energy from raw total energies: 31 meV per atom

=====

# GePS2N

A relaxed GePS2N crystal (PBE-GGA, the Alexandria database).

Cell lengths 4.454, 4.454, 3.826 Å; angles 90.00, 90.00, 90.00 degrees
Fractional coordinates of all 5 atoms:
Ge 0.000 0.000 0.000
P 0.500 0.500 0.000
S 0.000 0.500 0.500
S 0.500 0.000 0.500
N 0.500 0.500 0.500

Results
- Fermi-level density of states: 1.502 states/eV/cell
- Energy relative to the lowest polymorph listed for this composition: 494 meV per atom
- ρ: 3.976 g/cm3
- Total moment: 0.000 μB per atom
- Space group: P4/mmm, No. 123
- Formation energy from raw total energies: 975 meV per atom

=====

# Sr2GeP2N6

A relaxed Sr2GeP2N6 crystal (PBE-GGA, the Alexandria database).

Cell lengths 6.384, 6.384, 6.384 Å; angles 50.83, 50.83, 50.83 degrees
Fractional coordinates of all 11 atoms:
Sr 0.213 0.213 0.213
Sr 0.787 0.787 0.787
Ge 0.000 0.000 0.000
P 0.407 0.407 0.407
P 0.593 0.593 0.593
N 0.244 0.244 0.744
N 0.244 0.744 0.244
N 0.256 0.756 0.756
N 0.744 0.244 0.244
N 0.756 0.256 0.756
N 0.756 0.756 0.256

Results
- Fermi-level density of states: 2.155 states/eV/cell
- ρ: 4.536 g/cm3
- Total moment: 0.000 μB per atom
- Space group: R-3m, No. 166
- Formation energy from raw total energies: -435 meV per atom

=====

# GeTePN2

A relaxed GeTePN2 crystal (PBE-GGA, the Alexandria database).

Cell lengths 3.754, 3.754, 5.282 Å; angles 90.00, 90.00, 90.00 degrees
Fractional coordinates of all 5 atoms:
Ge 0.000 0.000 0.000
Te 0.500 0.500 0.000
P 0.500 0.500 0.500
N 0.000 0.500 0.500
N 0.500 0.000 0.500

Results
- Fermi-level density of states: 3.308 states/eV/cell
- Energy relative to the lowest polymorph listed for this composition: 0 meV per atom
- ρ: 5.783 g/cm3
- Total moment: 0.073 μB per atom
- Space group: P4/mmm, No. 123
- Formation energy from raw total energies: 1211 meV per atom

=====

# GeTePN2

A relaxed GeTePN2 crystal (PBE-GGA, the Alexandria database).

Cell lengths 3.696, 3.696, 8.079 Å; angles 90.00, 90.00, 90.00 degrees
Fractional coordinates of all 5 atoms:
Ge 0.000 0.000 0.000
Te 0.000 0.000 0.500
P 0.500 0.500 0.500
N 0.000 0.500 0.000
N 0.500 0.000 0.000

Results
- Fermi-level density of states: 3.263 states/eV/cell
- Energy relative to the lowest polymorph listed for this composition: 102 meV per atom
- ρ: 3.899 g/cm3
- Total moment: 0.000 μB per atom
- Space group: P4/mmm, No. 123
- Formation energy from raw total energies: 1313 meV per atom

=====

# GeTe2PN

A relaxed GeTe2PN crystal (PBE-GGA, the Alexandria database).

Cell lengths 5.537, 5.537, 3.563 Å; angles 90.00, 90.00, 90.00 degrees
Fractional coordinates of all 5 atoms:
Ge 0.000 0.000 0.000
Te 0.000 0.500 0.000
Te 0.500 0.000 0.000
P 0.500 0.500 0.500
N 0.000 0.000 0.500

Results
- Fermi-level density of states: 3.725 states/eV/cell
- Energy relative to the lowest polymorph listed for this composition: 434 meV per atom
- ρ: 5.668 g/cm3
- Total moment: 0.000 μB per atom
- Space group: P4/mmm, No. 123
- Formation energy from raw total energies: 950 meV per atom

=====

# GeTe2PN

A relaxed GeTe2PN crystal (PBE-GGA, the Alexandria database).

Cell lengths 5.871, 5.871, 3.212 Å; angles 90.00, 90.00, 90.00 degrees
Fractional coordinates of all 5 atoms:
Ge 0.000 0.000 0.000
Te 0.000 0.500 0.500
Te 0.500 0.000 0.500
P 0.500 0.500 0.500
N 0.500 0.500 0.000

Results
- Fermi-level density of states: 1.155 states/eV/cell
- Energy relative to the lowest polymorph listed for this composition: 0 meV per atom
- ρ: 5.592 g/cm3
- Total moment: 0.000 μB per atom
- Space group: P4/mmm, No. 123
- Formation energy from raw total energies: 516 meV per atom

=====

# TlGe3P4N12

A relaxed TlGe3P4N12 crystal (PBE-GGA, the Alexandria database).

Cell lengths 6.383, 6.383, 6.383 Å; angles 105.36, 105.36, 105.36 degrees
Fractional coordinates of all 20 atoms:
Tl 0.000 0.000 0.000
Ge 0.000 0.559 0.441
Ge 0.441 0.000 0.559
Ge 0.559 0.441 0.000
P 0.058 0.500 0.942
P 0.500 0.500 0.500
P 0.500 0.942 0.058
P 0.942 0.058 0.500
N 0.034 0.639 0.771
N 0.096 0.904 0.500
N 0.229 0.361 0.966
N 0.345 0.655 0.500
N 0.361 0.966 0.229
N 0.500 0.096 0.904
N 0.500 0.345 0.655
N 0.639 0.771 0.034
N 0.655 0.500 0.345
N 0.771 0.034 0.639
N 0.904 0.500 0.096
N 0.966 0.229 0.361

Results
- Fermi-level density of states: 8.998 states/eV/cell
- ρ: 5.258 g/cm3
- Total moment: 0.000 μB per atom
- Space group: R32, No. 155
- Formation energy from raw total energies: 273 meV per atom

=====

# Zn2GePN4

A relaxed Zn2GePN4 crystal (PBE-GGA, the Alexandria database).

Cell lengths 6.641, 5.430, 5.070 Å; angles 90.00, 90.00, 90.00 degrees
Fractional coordinates of all 16 atoms:
Zn 0.250 0.175 0.000
Zn 0.250 0.825 0.500
Zn 0.750 0.175 0.000
Zn 0.750 0.825 0.500
Ge 0.000 0.325 0.493
Ge 0.500 0.675 0.993
P 0.000 0.667 0.002
P 0.500 0.333 0.502
N 0.000 0.380 0.881
N 0.000 0.655 0.334
N 0.205 0.814 0.900
N 0.295 0.186 0.400
N 0.500 0.345 0.834
N 0.500 0.620 0.381
N 0.705 0.186 0.400
N 0.795 0.814 0.900

Results
- Fermi-level density of states: 3.643 states/eV/cell
- ρ: 5.277 g/cm3
- Total moment: 0.000 μB per atom
- Space group: Pmn2_1, No. 31
- Formation energy from raw total energies: -155 meV per atom

=====

# PaGeN

A relaxed PaGeN crystal (PBE-GGA, the Alexandria database).

Cell lengths 6.987, 6.987, 3.939 Å; angles 90.00, 90.00, 147.17 degrees
Fractional coordinates of all 6 atoms:
Pa 0.161 0.839 0.750
Pa 0.839 0.161 0.250
Ge 0.445 0.555 0.750
Ge 0.555 0.445 0.250
N 0.253 0.747 0.250
N 0.747 0.253 0.750

Results
- Fermi-level density of states: 1.890 states/eV/cell
- Energy relative to the lowest polymorph listed for this composition: 0 meV per atom
- ρ: 10.121 g/cm3
- Total moment: 0.000 μB per atom
- Space group: Cmcm, No. 63
- Formation energy from raw total energies: -1233 meV per atom

=====

# Pa4Ge2N

A relaxed Pa4Ge2N crystal (PBE-GGA, the Alexandria database).

Cell lengths 8.308, 8.308, 8.308 Å; angles 148.43, 148.43, 45.25 degrees
Fractional coordinates of all 7 atoms:
Pa 0.000 0.500 0.500
Pa 0.166 0.166 0.000
Pa 0.500 0.000 0.500
Pa 0.834 0.834 0.000
Ge 0.359 0.359 0.000
Ge 0.641 0.641 0.000
N 0.000 0.000 0.000

Results
- Fermi-level density of states: 10.531 states/eV/cell
- ρ: 11.484 g/cm3
- Total moment: 0.000 μB per atom
- Space group: I4/mmm, No. 139
- Formation energy from raw total energies: -592 meV per atom

=====

# Pa2GeN2

A relaxed Pa2GeN2 crystal (PBE-GGA, the Alexandria database).

Cell lengths 7.123, 6.398, 6.038 Å; angles 69.82, 57.47, 52.71 degrees
Fractional coordinates of all 10 atoms:
Pa 0.072 0.678 0.072
Pa 0.322 0.928 0.322
Pa 0.678 0.072 0.678
Pa 0.928 0.322 0.928
Ge 0.375 0.375 0.375
Ge 0.625 0.625 0.625
N 0.005 0.005 0.745
N 0.255 0.255 0.995
N 0.745 0.745 0.005
N 0.995 0.995 0.255

Results
- Fermi-level density of states: 0.644 states/eV/cell
- ρ: 10.129 g/cm3
- Total moment: 0.000 μB per atom
- Space group: Fddd, No. 70
- Formation energy from raw total energies: -1274 meV per atom

=====

# PaGeN

A relaxed PaGeN crystal (PBE-GGA, the Alexandria database).

Cell lengths 3.778, 3.778, 4.853 Å; angles 90.00, 90.00, 120.00 degrees
Fractional coordinates of all 3 atoms:
Pa 0.000 0.000 0.000
Ge 0.667 0.333 0.500
N 0.333 0.667 0.000

Results
- Fermi-level density of states: 1.757 states/eV/cell
- Energy relative to the lowest polymorph listed for this composition: 514 meV per atom
- ρ: 8.795 g/cm3
- Total moment: 0.000 μB per atom
- Space group: P-6m2, No. 187
- Formation energy from raw total energies: -719 meV per atom

=====

# Pa3GeN6

A relaxed Pa3GeN6 crystal (PBE-GGA, the Alexandria database).

Cell lengths 7.286, 7.286, 5.453 Å; angles 90.00, 90.00, 102.84 degrees
Fractional coordinates of all 20 atoms:
Pa 0.106 0.894 0.500
Pa 0.202 0.415 0.538
Pa 0.415 0.202 0.038
Pa 0.585 0.798 0.538
Pa 0.798 0.585 0.038
Pa 0.894 0.106 0.000
Ge 0.307 0.693 0.082
Ge 0.693 0.307 0.582
N 0.077 0.611 0.258
N 0.143 0.172 0.271
N 0.172 0.143 0.771
N 0.284 0.716 0.737
N 0.389 0.923 0.258
N 0.459 0.541 0.227
N 0.541 0.459 0.727
N 0.611 0.077 0.758
N 0.716 0.284 0.237
N 0.828 0.857 0.271
N 0.857 0.828 0.771
N 0.923 0.389 0.758

Results
- Fermi-level density of states: 10.231 states/eV/cell
- ρ: 9.999 g/cm3
- Total moment: 0.062 μB per atom
- Space group: Cmc2_1, No. 36
- Formation energy from raw total energies: -1286 meV per atom

=====

# Pa3Ge2N2

A relaxed Pa3Ge2N2 crystal (PBE-GGA, the Alexandria database).

Cell lengths 6.311, 6.311, 6.896 Å; angles 119.23, 119.23, 36.49 degrees
Fractional coordinates of all 7 atoms:
Pa 0.000 0.000 0.000
Pa 0.192 0.192 0.742
Pa 0.808 0.808 0.258
Ge 0.444 0.444 0.648
Ge 0.556 0.556 0.352
N 0.208 0.208 0.091
N 0.792 0.792 0.909

Results
- Fermi-level density of states: 6.341 states/eV/cell
- ρ: 10.271 g/cm3
- Total moment: 0.000 μB per atom
- Space group: C2/m, No. 12
- Formation energy from raw total energies: -1097 meV per atom

=====

# PrPa2GeN5

A relaxed PrPa2GeN5 crystal (PBE-GGA, the Alexandria database).

Cell lengths 8.736, 8.736, 9.335 Å; angles 90.00, 90.00, 158.16 degrees
Fractional coordinates of all 18 atoms:
Pr 0.224 0.776 0.500
Pr 0.776 0.224 0.000
Pa 0.091 0.909 0.177
Pa 0.106 0.894 0.807
Pa 0.894 0.106 0.307
Pa 0.909 0.091 0.677
Ge 0.446 0.554 0.959
Ge 0.554 0.446 0.459
N 0.036 0.964 0.555
N 0.324 0.676 0.195
N 0.352 0.648 0.849
N 0.372 0.628 0.513
N 0.495 0.505 0.287
N 0.505 0.495 0.787
N 0.628 0.372 0.013
N 0.648 0.352 0.349
N 0.676 0.324 0.695
N 0.964 0.036 0.055

Results
- Fermi-level density of states: 11.574 states/eV/cell
- ρ: 9.343 g/cm3
- Total moment: 0.127 μB per atom
- Space group: Cmc2_1, No. 36
- Formation energy from raw total energies: -976 meV per atom